VASP calculation (PBE-GGA) on a relaxed YGe2HRu2 crystal.

Lattice parameters (Å, degrees): 4.130 4.130 5.269 90.00 90.00 90.00
Atoms (fractional coordinates):
Y  0.000  0.000  0.000
Ge  0.500  0.500  0.233
Ge  0.500  0.500  0.767
H  0.000  0.000  0.500
Ru  0.000  0.500  0.500
Ru  0.500  0.000  0.500

Properties
DFT total energy (eV/atom): -6.783

***

VASP calculation (PBE-GGA) on a relaxed SrLiYS3 crystal.

Lattice parameters (Å, degrees): 8.350 4.002 8.637 90.00 103.29 90.00
Atoms (fractional coordinates):
Sr  0.187  0.250  0.234
Sr  0.813  0.750  0.766
Li  0.086  0.250  0.587
Li  0.914  0.750  0.413
Y  0.332  0.750  0.833
Y  0.668  0.250  0.167
S  0.113  0.250  0.867
S  0.208  0.750  0.512
S  0.438  0.750  0.164
S  0.562  0.250  0.836
S  0.792  0.250  0.488
S  0.887  0.750  0.133

Properties
E_form (uncorrected) (eV per atom): -1.9208

***

VASP calculation (PBE-GGA) on a relaxed Cs2Tl4Ir crystal.

Lattice parameters (Å, degrees): 10.843 10.843 10.843 151.40 151.40 40.89
Atoms (fractional coordinates):
Cs  0.165  0.165  0.000
Cs  0.835  0.835  0.000
Tl  0.000  0.500  0.500
Tl  0.365  0.365  0.000
Tl  0.500  0.000  0.500
Tl  0.635  0.635  0.000
Ir  0.500  0.500  0.000

Properties
DFT total energy (eV/atom): -2.826

***

VASP calculation (PBE-GGA) on a relaxed Ta2MnAg crystal.

Lattice parameters (Å, degrees): 9.703 9.703 9.703 17.16 17.16 17.16
Atoms (fractional coordinates):
Ta  0.000  0.000  0.000
Ta  0.244  0.244  0.244
Mn  0.501  0.501  0.501
Ag  0.754  0.754  0.754

Properties
Energy above the most stable polymorph in this dataset (eV/atom): 0.175

***

VASP calculation (PBE-GGA) on a relaxed Al2RuAuS crystal.

Lattice parameters (Å, degrees): 4.713 4.713 5.216 90.00 90.00 90.00
Atoms (fractional coordinates):
Al  0.000  0.500  0.000
Al  0.500  0.000  0.000
Ru  0.000  0.000  0.500
Au  0.000  0.000  0.000
S  0.500  0.500  0.500

Properties
E_form (uncorrected) (eV per atom): 0.8702

***

VASP calculation (PBE-GGA) on a relaxed MgHgF2 crystal.

Lattice parameters (Å, degrees): 8.674 8.674 8.674 22.48 22.48 22.48
Atoms (fractional coordinates):
Mg  0.000  0.000  0.000
Hg  0.500  0.500  0.500
F  0.071  0.071  0.071
F  0.929  0.929  0.929

Properties
Energy above the most stable polymorph in this dataset (eV/atom): 0.958
E_form (uncorrected) (eV per atom): -1.5809

***

Copy entry 4 word for word.
VASP calculation (PBE-GGA) on a relaxed Ta2MnAg crystal.

Lattice parameters (Å, degrees): 9.703 9.703 9.703 17.16 17.16 17.16
Atoms (fractional coordinates):
Ta  0.000  0.000  0.000
Ta  0.244  0.244  0.244
Mn  0.501  0.501  0.501
Ag  0.754  0.754  0.754

Properties
Energy above the most stable polymorph in this dataset (eV/atom): 0.175